YAl | Alexandria via LeMat-Bulk | PBE | optimized geometry; crystal system = cubic; calculated total energy = -4.477 eV/atom; formation enthalpy at 0 K = 626 meV per atom
1.0
-4.4140 4.4140 4.4140
4.4140 -4.4140 4.4140
4.4140 4.4140 -4.4140
Y Al
4 4
direct
0.0000 0.0000 0.4082
0.0000 0.4082 0.0000
0.4082 0.0000 0.0000
0.5918 0.5918 0.5918
0.0000 0.0000 0.7863
0.0000 0.7863 0.0000
0.2137 0.2137 0.2137
0.7863 0.0000 0.0000